Run P
P2HRhS after structural relaxation, computed with PBE.

abc: 3.6637 3.6637 4.6319
angles: 90.00 90.00 90.00
Space group P4/mmm (No. 123)
Symmetry-distinct sites (fractional):
P (0.0000, 0.5000, 0.0000) [2 per cell]
H (0.0000, 0.0000, 0.0000) [1 per cell]
Rh (0.5000, 0.5000, 0.5000) [1 per cell]
S (0.0000, 0.0000, 0.5000) [1 per cell]

***

Run Q
P2HRhS after structural relaxation, computed with PBE.

abc: 4.4910 4.4910 3.2148
angles: 90.00 90.00 90.00
Space group P4/mmm (No. 123)
Symmetry-distinct sites (fractional):
P (0.0000, 0.5000, 0.0000) [2 per cell]
H (0.0000, 0.0000, 0.0000) [1 per cell]
Rh (0.0000, 0.0000, 0.5000) [1 per cell]
S (0.5000, 0.5000, 0.5000) [1 per cell]

***

Run R
P2HRhS after structural relaxation, computed with PBE.

abc: 4.4811 4.4811 5.0161
angles: 90.00 90.00 90.00
Space group P4/mmm (No. 123)
Symmetry-distinct sites (fractional):
P (0.0000, 0.5000, 0.0000) [2 per cell]
H (0.0000, 0.0000, 0.5000) [1 per cell]
Rh (0.5000, 0.5000, 0.0000) [1 per cell]
S (0.5000, 0.5000, 0.5000) [1 per cell]

***

Which of the structures shown above is the most stable? The most stable is run Q.